10
Lattice="0.0000 7.6999 2.9583 5.1868 0.0000 2.9583 5.1868 7.6999 0.0000" Properties=species:S:1:pos:R:3 comment="Y2Ta3 | Alexandria | PBE | relaxed" crystal_system=orthorhombic space_group="Fdd2 (43)" delta_e_f_ev_per_atom=0.385 pbc="T T T"
Y 5.9052 4.6793 2.9583
Y 7.0619 8.5292 4.4375
Y 4.4684 10.7205 2.9583
Y 3.3118 6.8706 4.4375
Ta 4.3977 1.7752 2.9083
Ta 1.8042 2.0748 1.4291
Ta 3.3826 5.6251 1.4291
Ta 5.1868 7.6999 1.9204
Ta 7.7802 11.5499 3.3995
Ta 5.9760 13.6247 2.9083